{
  "formula": "DyYSiPt",
  "functional": "PBE",
  "state": "relaxed",
  "cell": [[4.1843, 0.0000, 0.0000], [0.0000, 2.0006, 5.3479], [0.0000, -2.0006, 5.3479]],
  "species": ["Dy", "Y", "Si", "Pt"],
  "frac_coords": [[0.0000, 0.0000, 0.0000], [0.5000, 0.7177, 0.7177], [0.5000, 0.4343, 0.4343], [0.0000, 0.2823, 0.2823]],
  "volume_a3_per_cell": 89.5,
  "dft_energy_ev_per_atom": -6.671,
  "rho_g_cm3": 8.80,
  "magmom_total_mub_per_fu": 0.00,
  "crystal_system": "orthorhombic",
  "dos_at_fermi_per_ev_fu": 3.3
}

---

{
  "formula": "Ni6Mo2Ir",
  "functional": "PBE",
  "state": "relaxed",
  "cell": [[0.0000, 5.3220, 5.6152], [1.8679, 0.0000, 5.6152], [1.8679, 5.3220, 0.0000]],
  "species": ["Ni", "Ni", "Ni", "Ni", "Ni", "Ni", "Mo", "Mo", "Ir"],
  "frac_coords": [[0.0006, 0.6625, 0.3375], [0.3274, 0.6726, 0.3274], [0.3375, 0.9994, 0.0006], [0.6625, 0.0006, 0.9994], [0.6726, 0.3274, 0.6726], [0.9994, 0.3375, 0.6625], [0.3367, 0.3367, 0.6633], [0.6633, 0.6633, 0.3367], [0.0000, 0.0000, 0.0000]],
  "volume_a3_per_cell": 111.6,
  "dft_energy_ev_per_atom": -7.285,
  "formation_energy_mev_per_atom": -39,
  "rho_g_cm3": 10.95,
  "magmom_total_mub_per_fu": 0.00,
  "crystal_system": "orthorhombic",
  "dos_at_fermi_per_ev_fu": 9.3
}

---

{
  "formula": "TaHgRu2",
  "functional": "PBE",
  "state": "relaxed",
  "cell": [[-3.5865, 3.5865, 2.8596], [3.5865, -3.5865, 2.8596], [3.5865, 3.5865, -2.8596]],
  "species": ["Ta", "Ta", "Hg", "Hg", "Ru", "Ru", "Ru", "Ru"],
  "frac_coords": [[0.0000, 0.0000, 0.0000], [0.7500, 0.2500, 0.5000], [0.2500, 0.7500, 0.5000], [0.5000, 0.5000, 0.0000], [0.0887, 0.6250, 0.9637], [0.3750, 0.3387, 0.4637], [0.6613, 0.1250, 0.0363], [0.8750, 0.9113, 0.5363]],
  "volume_a3_per_cell": 147.1,
  "dft_energy_ev_per_atom": -7.097,
  "formation_energy_mev_per_atom": 579,
  "rho_g_cm3": 13.17,
  "magmom_total_mub_per_fu": 0.00,
  "crystal_system": "tetragonal",
  "dos_at_fermi_per_ev_fu": 5.0
}

---

{
  "formula": "LaPr2Ga",
  "functional": "PBE",
  "state": "relaxed",
  "cell": [[3.6835, 0.0000, 0.0000], [0.0000, 3.6835, 0.0000], [0.0000, 0.0000, 9.1887]],
  "species": ["La", "Pr", "Pr", "Ga"],
  "frac_coords": [[0.0000, 0.0000, 0.0000], [0.5000, 0.5000, 0.2924], [0.5000, 0.5000, 0.7076], [0.0000, 0.0000, 0.5000]],
  "volume_a3_per_cell": 124.7,
  "dft_energy_ev_per_atom": -4.626,
  "formation_energy_mev_per_atom": -248,
  "relative_energy_ev_per_atom": 0.005,
  "rho_g_cm3": 6.53,
  "magmom_total_mub_per_fu": 0.00,
  "crystal_system": "tetragonal",
  "dos_at_fermi_per_ev_fu": 5.2
}

---

{
  "formula": "ScMnAg2",
  "functional": "PBE",
  "state": "relaxed",
  "cell": [[-1.9713, 1.9713, 9.9284], [1.9713, -1.9713, 9.9284], [1.9713, 1.9713, -9.9284]],
  "species": ["Sc", "Sc", "Mn", "Mn", "Ag", "Ag", "Ag", "Ag"],
  "frac_coords": [[0.0000, 0.0000, 0.0000], [0.7500, 0.2500, 0.5000], [0.2500, 0.7500, 0.5000], [0.5000, 0.5000, 0.0000], [0.1350, 0.6250, 0.0100], [0.3750, 0.3850, 0.5100], [0.6150, 0.1250, 0.9900], [0.8750, 0.8650, 0.4900]],
  "volume_a3_per_cell": 154.3,
  "dft_energy_ev_per_atom": -4.966,
  "formation_energy_mev_per_atom": 335,
  "relative_energy_ev_per_atom": 0.335,
  "rho_g_cm3": 6.79,
  "magmom_total_mub_per_fu": 3.07,
  "crystal_system": "tetragonal",
  "dos_at_fermi_per_ev_fu": 3.5
}

---

{
  "formula": "CuP2NCl",
  "functional": "PBE",
  "state": "relaxed",
  "cell": [[3.6852, 0.0000, 0.0000], [0.0000, 3.6852, 0.0000], [0.0000, 0.0000, 6.7528]],
  "species": ["Cu", "P", "P", "N", "Cl"],
  "frac_coords": [[0.0000, 0.0000, 0.0000], [0.0000, 0.5000, 0.5000], [0.5000, 0.0000, 0.5000], [0.5000, 0.5000, 0.5000], [0.5000, 0.5000, 0.0000]],
  "volume_a3_per_cell": 91.7,
  "dft_energy_ev_per_atom": -4.126,
  "relative_energy_ev_per_atom": 0.000,
  "rho_g_cm3": 3.17,
  "magmom_total_mub_per_fu": 0.34,
  "crystal_system": "tetragonal",
  "dos_at_fermi_per_ev_fu": 4.0
}

---

{
  "formula": "YAlAg2Se4",
  "functional": "PBE",
  "state": "relaxed",
  "cell": [[-3.8195, 4.2621, 5.6061], [3.8195, -4.2621, 5.6061], [3.8195, 4.2621, -5.6061]],
  "species": ["Y", "Y", "Al", "Al", "Ag", "Ag", "Ag", "Ag", "Se", "Se", "Se", "Se", "Se", "Se", "Se", "Se"],
  "frac_coords": [[0.0000, 0.0000, 0.0000], [0.5000, 0.0000, 0.5000], [0.5000, 0.0000, 0.0000], [0.5000, 0.5000, 0.5000], [0.0000, 0.0000, 0.5000], [0.0000, 0.5000, 0.0000], [0.0000, 0.5000, 0.5000], [0.5000, 0.5000, 0.0000], [0.2436, 0.2448, 0.5012], [0.2436, 0.7424, 0.9988], [0.2930, 0.7468, 0.5462], [0.2995, 0.2532, 0.0462], [0.7005, 0.7468, 0.9538], [0.7070, 0.2532, 0.4538], [0.7564, 0.2576, 0.0012], [0.7564, 0.7552, 0.4988]],
  "volume_a3_per_cell": 365.0,
  "dft_energy_ev_per_atom": -4.523,
  "rho_g_cm3": 5.89,
  "magmom_total_mub_per_fu": 0.00,
  "crystal_system": "orthorhombic",
  "dos_at_fermi_per_ev_fu": 0.3
}

---

{
  "formula": "Cr2As2Rh",
  "functional": "PBE",
  "state": "relaxed",
  "cell": [[6.7316, 0.0000, 0.0000], [0.0000, 6.7316, 0.0000], [0.0000, 0.0000, 3.3145]],
  "species": ["Cr", "Cr", "Cr", "Cr", "As", "As", "As", "As", "Rh", "Rh"],
  "frac_coords": [[0.1448, 0.3552, 0.0000], [0.3552, 0.8552, 0.0000], [0.6448, 0.1448, 0.0000], [0.8552, 0.6448, 0.0000], [0.1539, 0.6539, 0.5000], [0.3461, 0.1539, 0.5000], [0.6539, 0.8461, 0.5000], [0.8461, 0.3461, 0.5000], [0.0000, 0.0000, 0.5000], [0.5000, 0.5000, 0.5000]],
  "volume_a3_per_cell": 150.2,
  "dft_energy_ev_per_atom": -7.206,
  "formation_energy_mev_per_atom": -26,
  "rho_g_cm3": 7.89,
  "magmom_total_mub_per_fu": 5.81,
  "crystal_system": "tetragonal",
  "dos_at_fermi_per_ev_fu": 3.6
}